(1)
Ca2LaNiOs | PBE-GGA | optimized geometry

The space group is P4/mmm (No. 123) and the conventional cell measures 5.105, 5.105 and 4.836 Å, with angles of 90.00, 90.00 and 90.00 degrees. The asymmetric unit holds Ca at (0.000, 0.500, 0.000), La at (0.000, 0.000, 0.500), Ni at (0.500, 0.500, 0.000) and Os at (0.500, 0.500, 0.500).

The crystal system is tetragonal. For the formation energy, the calculation gives 413 meV/atom. As for the total energy: -4.776 eV per atom. For the density of states at the Fermi level, the calculation gives 6.7 states/eV/cell. The magnetic moment comes out at 0.0 μB per cell.

(2)
CaLa2NiPb | PBE-GGA | optimized geometry

The space group is P4/mmm (No. 123) and the conventional cell measures 5.340, 5.340 and 5.479 Å, with angles of 90.00, 90.00 and 90.00 degrees. The asymmetric unit holds Ca at (0.000, 0.000, 0.000), La at (0.000, 0.500, 0.500), Ni at (0.000, 0.000, 0.500) and Pb at (0.500, 0.500, 0.000).

The crystal system is tetragonal. For the formation energy, the calculation gives -344 meV/atom. As for the total energy: -4.614 eV per atom. For the density of states at the Fermi level, the calculation gives 4.9 states/eV/cell. The magnetic moment comes out at 0.0 μB per cell.

(3)
Ca2LaNiPb | PBE-GGA | optimized geometry

The space group is P4/mmm (No. 123) and the conventional cell measures 5.412, 5.412 and 5.289 Å, with angles of 90.00, 90.00 and 90.00 degrees. The asymmetric unit holds Ca at (0.000, 0.500, 0.000), La at (0.000, 0.000, 0.500), Ni at (0.000, 0.000, 0.000) and Pb at (0.500, 0.500, 0.500).

The crystal system is tetragonal. For the formation energy, the calculation gives -288 meV/atom. As for the total energy: -3.972 eV per atom. For the density of states at the Fermi level, the calculation gives 3.4 states/eV/cell. The magnetic moment comes out at 0.0 μB per cell.

(4)
CaLaNiPd | PBE-GGA | optimized geometry

The space group is F-43m (No. 216) and the conventional cell measures 7.120, 7.120 and 7.120 Å, with angles of 90.00, 90.00 and 90.00 degrees. The asymmetric unit holds Ca at (0.000, 0.000, 0.000), La at (0.000, 0.000, 0.500), Ni at (0.250, 0.250, 0.750) and Pd at (0.250, 0.250, 0.250).

The crystal system is cubic. For the formation energy, the calculation gives -436 meV/atom. As for the total energy: -4.912 eV per atom. For the density of states at the Fermi level, the calculation gives 8.7 states/eV/cell. The magnetic moment comes out at 0.0 μB per cell.

(5)
CaLaNiPd | PBE-GGA | optimized geometry

The space group is Amm2 (No. 38) and the conventional cell measures 4.265, 4.000 and 11.086 Å, with angles of 90.00, 90.00 and 90.00 degrees. The asymmetric unit holds Ca at (0.000, 0.000, 0.000), La at (0.500, 0.000, 0.279), Ni at (0.000, 0.000, 0.718) and Pd at (0.500, 0.000, 0.568).

The crystal system is orthorhombic. For the formation energy, the calculation gives -506 meV/atom. As for the total energy: -4.981 eV per atom. For the density of states at the Fermi level, the calculation gives 5.2 states/eV/cell. The magnetic moment comes out at 0.0 μB per cell.

(6)
RbCa2LaNi | PBE-GGA | optimized geometry

The space group is P4/mmm (No. 123) and the conventional cell measures 5.978, 5.978 and 5.351 Å, with angles of 90.00, 90.00 and 90.00 degrees. The asymmetric unit holds Rb at (0.000, 0.000, 0.000), Ca at (0.000, 0.500, 0.500), La at (0.500, 0.500, 0.000) and Ni at (0.500, 0.500, 0.500).

The crystal system is tetragonal. For the formation energy, the calculation gives 44 meV/atom. As for the total energy: -3.092 eV per atom. For the density of states at the Fermi level, the calculation gives 4.7 states/eV/cell. The magnetic moment comes out at 0.0 μB per cell.

(7)
SrCaLa2Ni | PBE-GGA | optimized geometry

The space group is P4/mmm (No. 123) and the conventional cell measures 5.565, 5.565 and 5.933 Å, with angles of 90.00, 90.00 and 90.00 degrees. The asymmetric unit holds Sr at (0.000, 0.000, 0.000), Ca at (0.500, 0.500, 0.000), La at (0.000, 0.500, 0.500) and Ni at (0.500, 0.500, 0.500).

The crystal system is tetragonal. For the formation energy, the calculation gives -77 meV/atom. As for the total energy: -3.941 eV per atom. For the density of states at the Fermi level, the calculation gives 5.0 states/eV/cell. The magnetic moment comes out at 0.0 μB per cell.

(8)
SrCaLa2Ni | PBE-GGA | optimized geometry

The space group is P4/mmm (No. 123) and the conventional cell measures 5.531, 5.531 and 6.150 Å, with angles of 90.00, 90.00 and 90.00 degrees. The asymmetric unit holds Sr at (0.000, 0.000, 0.000), Ca at (0.500, 0.500, 0.000), La at (0.000, 0.500, 0.500) and Ni at (0.000, 0.000, 0.500).

The crystal system is tetragonal. For the formation energy, the calculation gives -42 meV/atom. As for the total energy: -3.906 eV per atom. For the density of states at the Fermi level, the calculation gives 5.9 states/eV/cell. The magnetic moment comes out at 0.0 μB per cell.